# KNi2Se2O6, optimized geometry, DFT PBE with a Hubbard U
# Energy ... -4.812 eV per atom
data_KNi2Se2O6
_space_group_name_H-M_alt 'P -1'
_space_group_IT_number 2
_cell_length_a 5.7590
_cell_length_b 5.8056
_cell_length_c 6.6893
_cell_angle_alpha 110.09
_cell_angle_beta 98.95
_cell_angle_gamma 112.38
loop_
_space_group_symop_operation_xyz
'x,y,z'
'-x,-y,-z'
loop_
_atom_site_label
_atom_site_fract_x
_atom_site_fract_y
_atom_site_fract_z
K1 0.0000 0.0000 0.0000
Ni1 0.2281 0.7535 0.4663
Se1 0.3458 0.4387 0.7047
O1 0.0903 0.3407 0.8066
O2 0.1481 0.3610 0.4369
O3 0.4381 0.1731 0.6392